Entry 1:
Density functional theory data (PBE) for crystalline YThTl at its relaxed geometry.

The structure in POSCAR format:
```
YThTl
1.0
-2.311 2.311 8.669
2.311 -2.311 8.669
2.311 2.311 -8.669
Y Th Tl
2 2 2
direct
0.178 0.178 0.000
0.822 0.822 0.000
0.000 0.500 0.500
0.500 0.000 0.500
0.358 0.358 0.000
0.642 0.642 0.000
```

Properties
SG: No. 139
E above lowest polymorph: 0.0 meV/atom
ΔH_f (0 K): -0.17 eV/atom

Entry 2:
Density functional theory data (PBE) for crystalline Mg2As2Os at its relaxed geometry.

The structure in POSCAR format:
```
Mg2As2Os
1.0
6.311 0.000 0.000
0.000 6.311 0.000
0.000 0.000 4.554
Mg As Os
4 4 2
direct
0.183 0.317 0.000
0.317 0.817 0.000
0.683 0.183 0.000
0.817 0.683 0.000
0.139 0.639 0.500
0.361 0.139 0.500
0.639 0.861 0.500
0.861 0.361 0.500
0.000 0.000 0.500
0.500 0.500 0.500
```

Properties
SG: No. 127
ΔH_f (0 K): -0.16 eV/atom

Entry 3:
Density functional theory data (PBE) for crystalline K4Zn3 at its relaxed geometry.

The structure in POSCAR format:
```
K4Zn3
1.0
6.478 0.000 0.000
-3.239 5.610 0.000
0.000 0.000 7.294
K Zn
4 3
direct
0.000 0.000 0.227
0.000 0.000 0.773
0.333 0.667 0.500
0.667 0.333 0.500
0.000 0.500 0.000
0.500 0.000 0.000
0.500 0.500 0.000
```

Properties
SG: No. 191
ΔH_f (0 K): 0.21 eV/atom

Entry 4:
Density functional theory data (PBE) for crystalline AlReSi at its relaxed geometry.

The structure in POSCAR format:
```
AlReSi
1.0
2.902 0.000 0.000
-1.451 2.513 0.000
0.000 0.000 6.098
Al Re Si
1 1 1
direct
0.000 0.000 0.000
0.667 0.333 0.339
0.333 0.667 0.642
```

Properties
SG: No. 156
Formation energy from raw total energies: -0.2 eV/f.u.

Entry 5:
Density functional theory data (PBE) for crystalline TeP at its relaxed geometry.

The structure in POSCAR format:
```
TeP
1.0
-6.323 6.323 1.605
6.323 -6.323 1.605
6.323 6.323 -1.605
Te P
4 4
direct
0.034 0.184 0.218
0.184 0.966 0.150
0.816 0.034 0.850
0.966 0.816 0.782
0.209 0.294 0.504
0.294 0.791 0.085
0.706 0.209 0.915
0.791 0.706 0.496
```

Properties
SG: No. 87
Formation energy from raw total energies: 0.3 eV/f.u.

Entry 6:
Density functional theory data (PBE) for crystalline Er4Tm3Sc at its relaxed geometry.

The structure in POSCAR format:
```
Er4Tm3Sc
1.0
-4.373 4.373 6.162
4.373 -4.373 6.162
4.373 4.373 -6.162
Er Tm Sc
8 6 2
direct
0.012 0.512 0.199
0.187 0.988 0.500
0.313 0.813 0.801
0.488 0.687 0.500
0.512 0.313 0.500
0.687 0.187 0.199
0.813 0.012 0.500
0.988 0.488 0.801
0.147 0.353 0.500
0.250 0.250 0.000
0.353 0.853 0.207
0.647 0.147 0.793
0.750 0.750 0.000
0.853 0.647 0.500
0.000 0.000 0.000
0.500 0.500 0.000
```

Properties
SG: No. 140
E above lowest polymorph: 89.8 meV/atom
ΔH_f (0 K): 0.10 eV/atom

Entry 7:
Density functional theory data (PBE) for crystalline Co2TeW at its relaxed geometry.

The structure in POSCAR format:
```
Co2TeW
1.0
1.576 0.910 7.479
-1.576 0.910 7.479
0.000 -1.820 7.479
Co Te W
2 1 1
direct
0.239 0.239 0.239
0.761 0.761 0.761
0.000 0.000 0.000
0.500 0.500 0.500
```

Properties
SG: No. 166
Formation energy from raw total energies: 1.9 eV/f.u.

D(E_F), respectively: 5.506, 2.141, 3.900, 1.033, 4.773, 17.530, 2.480 states/eV per cell.
Calculated volume, respectively: 185, 181, 265, 44, 257, 471, 64 Å³ per cell.